1.
# Hf3MnRh2 PBE optimized geometry
# - Fermi-level density of states (states/eV/atom) = 0.4047
# - total energy (eV for the cell shown) = -57.86
# - formation enthalpy at 0 K (eV per atom) = -0.69
data_Hf3MnRh2
_symmetry_space_group_name_H-M 'P 4/m m m'
_symmetry_Int_Tables_number 123
_symmetry_space_group_name_Hall '-P 4 2'
_cell_length_a 3.252
_cell_length_b 3.252
_cell_length_c 9.569
_cell_angle_alpha 90.00
_cell_angle_beta 90.00
_cell_angle_gamma 90.00
loop_
_atom_site_label
_atom_site_type_symbol
_atom_site_fract_x
_atom_site_fract_y
_atom_site_fract_z
_atom_site_occupancy
Hf1 Hf 0.000 0.000 0.000 1
Hf2 Hf 0.000 0.000 0.342 1
Mn1 Mn 0.500 0.500 0.500 1
Rh1 Rh 0.500 0.500 0.165 1


2.
# ZrIn2W PBE optimized geometry
# - Fermi-level density of states (states/eV/atom) = 0.5937
# - total energy (eV for the cell shown) = -52.01
# - formation enthalpy at 0 K (eV per atom) = 0.24
# - offset from the most stable computed form (eV/f.u.) = 0.14
data_ZrIn2W
_symmetry_space_group_name_H-M 'I m m 2'
_symmetry_Int_Tables_number 44
_cell_length_a 3.729
_cell_length_b 4.681
_cell_length_c 9.377
_cell_angle_alpha 90.00
_cell_angle_beta 90.00
_cell_angle_gamma 90.00
loop_
_symmetry_equiv_pos_as_xyz
'x,y,z'
'-x,-y,z'
'-x,y,z'
'x,-y,z'
'x+1/2,y+1/2,z+1/2'
'-x+1/2,-y+1/2,z+1/2'
'-x+1/2,y+1/2,z+1/2'
'x+1/2,-y+1/2,z+1/2'
loop_
_atom_site_label
_atom_site_type_symbol
_atom_site_fract_x
_atom_site_fract_y
_atom_site_fract_z
_atom_site_occupancy
Zr1 Zr 0.000 0.000 0.000 1
In1 In 0.000 0.000 0.523 1
In2 In 0.000 0.500 0.765 1
W1 W 0.000 0.500 0.274 1